Rb2BeNF6: relaxed, GGA-PBE.

Total DFT energy (no corrections) in eV/cell: -42.39
Symmetry: I4/mmm
DOS(E_F) in states/eV/f.u.: 10.66
Uncorrected formation energy in meV/atom: -1717

a = 6.0985 Å, b = 6.0985 Å, c = 5.9558 Å
α = 59.20°, β = 59.20°, γ = 90.00°
Closest atoms and distances in Å follow each position.
Positions (direct):
F (0.3098, 0.6902, 0.0000)  1 Be 1.64
F (0.7953, 0.7953, 0.4094)  1 N 1.68
F (0.2047, 0.2047, 0.5906)  1 N 1.68
F (0.6902, 0.3098, 0.0000)  1 Be 1.64
F (0.3098, 0.3098, 0.0000)  1 Be 1.64
F (0.6902, 0.6902, 0.0000)  1 Be 1.64
Rb (0.2500, 0.7500, 0.5000)  12 F 3.02-3.07
Rb (0.7500, 0.2500, 0.5000)  12 F 3.02-3.07
Be (0.5000, 0.5000, 0.0000)  4 F 1.64
N (0.0000, 0.0000, 0.0000)  2 F 1.68